[1]
VASP calculation (GGA-PBE) on a geometry-optimized V5FeH4 structure.

Structure (POSCAR):
```
V5FeH4
1.0
2.617 0.000 0.000
0.000 5.179 -0.252
-1.309 -0.974 6.358
V H Fe
5 4 1
Direct
0.162 0.825 0.325
0.838 0.661 0.676
0.500 0.500 0.000
0.838 0.175 0.675
0.162 0.339 0.324
0.689 0.095 0.377
0.999 0.226 0.999
0.001 0.774 0.001
0.311 0.905 0.623
0.500 0.000 0.000
```

---

[2]
VASP calculation (GGA-PBE) on a geometry-optimized Y2LuRu structure.

Structure (POSCAR):
```
Y2LuRu
1.0
-2.308 2.598 0.102
-3.364 -0.639 -0.603
-3.407 -1.097 10.145
Ru Y Lu
1 2 1
Direct
0.500 0.500 0.500
0.894 0.894 0.317
0.106 0.106 0.683
0.000 0.000 0.000
```

Calculated values
The calculation puts the polymorph energy (0 for the lowest one) at 303.6 meV per atom. The calculation puts the energy of formation from the pure elements at 0.14 eV/atom.

---

[3]
VASP calculation (GGA-PBE) on a geometry-optimized Ba2AcSi2 structure.

Structure (POSCAR):
```
Ba2AcSi2
1.0
7.047 0.000 0.000
-3.523 5.975 0.276
0.000 -2.359 8.516
Ba Si Ac
4 4 2
Direct
0.229 0.695 0.352
0.771 0.305 0.648
0.466 0.695 0.852
0.534 0.305 0.148
0.005 0.680 0.994
0.326 0.320 0.506
0.674 0.680 0.494
0.995 0.320 0.006
0.915 0.000 0.250
0.085 0.000 0.750
```

Calculated values
For the formation energy (no corrections), the calculation gives -0.335 eV per atom.

---

[4]
VASP calculation (GGA-PBE) on a geometry-optimized Pm3ErTe4 structure.

Structure (POSCAR):
```
Pm3ErTe4
1.0
4.366 0.000 0.000
0.000 7.713 -0.023
0.000 -2.454 7.312
Er Te Pm
1 4 3
Direct
0.500 0.000 0.000
0.500 0.246 0.754
0.500 0.754 0.246
0.000 0.241 0.241
0.000 0.759 0.759
0.000 0.500 0.000
0.000 0.000 0.500
0.500 0.500 0.500
```

Calculated values
For the formation energy (no corrections), the calculation gives -1.357 eV per atom.

---

[5]
VASP calculation (GGA-PBE) on a geometry-optimized AlAgPt2 structure.

Structure (POSCAR):
```
AlAgPt2
1.0
5.287 0.063 0.271
4.469 2.826 0.271
1.625 0.481 4.385
Pt Al Ag
2 1 1
Direct
0.979 0.979 0.079
0.747 0.747 0.710
0.259 0.259 0.170
0.515 0.515 0.542
```

Calculated values
The calculation puts the polymorph energy (0 for the lowest one) at 218.3 meV per atom. The calculation puts the energy of formation from the pure elements at -0.44 eV/atom.

---

[6]
VASP calculation (GGA-PBE) on a geometry-optimized SrRuCl2 structure.

Structure (POSCAR):
```
SrRuCl2
1.0
-4.609 -3.951 -5.140
0.082 -6.218 -4.960
1.194 3.665 6.958
Cl Ru Sr
2 1 1
Direct
0.725 0.225 0.500
0.975 0.975 0.000
0.484 0.484 0.000
0.316 0.816 0.500
```

Calculated values
The calculation puts the polymorph energy (0 for the lowest one) at 202.9 meV per atom. For the formation energy (no corrections), the calculation gives -0.537 eV per atom.

---

[7]
VASP calculation (GGA-PBE) on a geometry-optimized ZnPHCl2 structure.

Structure (POSCAR):
```
ZnPHCl2
1.0
-3.890 0.880 2.991
-2.701 -3.340 -2.529
1.031 -2.378 2.041
Cl P H Zn
2 1 1 1
Direct
0.000 0.500 0.000
0.500 0.000 0.000
0.000 0.000 0.500
0.000 0.000 0.000
0.500 0.500 0.500
```

Calculated values
The calculation puts the polymorph energy (0 for the lowest one) at 0.0 meV per atom.

---

[8]
VASP calculation (GGA-PBE) on a geometry-optimized U2Te5 structure.

Structure (POSCAR):
```
U2Te5
1.0
6.129 0.000 0.000
0.000 8.173 0.210
-3.064 -1.046 8.189
Te U
10 4
Direct
0.650 0.250 0.000
0.240 0.422 0.179
0.383 0.199 0.544
0.839 0.301 0.456
0.161 0.699 0.544
0.350 0.750 0.000
0.760 0.578 0.821
0.061 0.078 0.821
0.617 0.801 0.456
0.939 0.922 0.179
0.559 0.927 0.786
0.441 0.073 0.214
0.227 0.427 0.786
0.773 0.573 0.214
```

Calculated values
The calculation puts the polymorph energy (0 for the lowest one) at 77.3 meV per atom. For the formation energy (no corrections), the calculation gives -0.503 eV per atom.

---

[9]
VASP calculation (GGA-PBE) on a geometry-optimized Zn4BO6 structure.

Structure (POSCAR):
```
Zn4BO6
1.0
5.277 0.000 1.593
2.439 4.842 1.456
-0.047 -0.188 9.689
Zn O B
8 12 2
Direct
0.942 0.659 0.650
0.670 0.251 0.807
0.303 0.971 0.649
0.749 0.159 0.150
0.273 0.751 0.307
0.541 0.729 0.962
0.077 0.471 0.149
0.767 0.229 0.462
0.569 0.653 0.764
0.214 0.313 0.735
0.537 0.041 0.458
0.522 0.626 0.450
0.963 0.541 0.958
0.739 0.813 0.235
0.969 0.637 0.442
0.921 0.028 0.642
0.951 0.137 0.942
0.402 0.126 0.950
0.013 0.153 0.264
0.410 0.528 0.142
0.693 0.778 0.395
0.134 0.278 0.895
```

Calculated values
For the formation energy (no corrections), the calculation gives -1.490 eV per atom.

---

[10]
VASP calculation (GGA-PBE) on a geometry-optimized YPuTcOs structure.

Structure (POSCAR):
```
YPuTcOs
1.0
-3.832 1.011 2.702
0.164 -0.681 4.745
0.082 3.772 2.962
Pu Tc Y Os
1 1 1 1
Direct
0.750 0.750 0.750
0.000 0.000 0.000
0.250 0.250 0.250
0.500 0.500 0.500
```

Calculated values
The calculation puts the energy of formation from the pure elements at 0.01 eV/atom.

---

[11]
VASP calculation (GGA-PBE) on a geometry-optimized Th2MgGa structure.

Structure (POSCAR):
```
Th2MgGa
1.0
-0.856 2.246 -3.808
-1.836 -4.012 -1.954
-4.368 1.181 1.678
Ga Th Mg
1 2 1
Direct
0.500 0.000 0.000
0.000 0.500 0.000
0.000 0.000 0.500
0.500 0.500 0.500
```

Calculated values
The calculation puts the energy of formation from the pure elements at -0.15 eV/atom.

---

[12]
VASP calculation (GGA-PBE) on a geometry-optimized Ce2Y2Er7 structure.

Structure (POSCAR):
```
Ce2Y2Er7
1.0
5.644 5.853 -2.445
-5.644 5.853 -2.445
0.000 -1.392 5.840
Er Y Ce
7 2 2
Direct
0.069 0.587 0.833
0.587 0.069 0.833
0.931 0.413 0.167
0.413 0.931 0.167
0.411 0.411 0.628
0.589 0.589 0.372
0.000 0.000 0.000
0.789 0.211 0.500
0.211 0.789 0.500
0.234 0.234 0.885
0.766 0.766 0.115
```

Calculated values
The calculation puts the energy of formation from the pure elements at 0.22 eV/atom.

---

[13]
VASP calculation (GGA-PBE) on a geometry-optimized TlAg2SbCl8 structure.

Structure (POSCAR):
```
TlAg2SbCl8
1.0
-3.275 -2.511 5.049
-2.978 -3.557 -4.364
5.659 -5.740 0.816
Cl Ag Sb Tl
8 2 1 1
Direct
0.174 0.791 0.752
0.320 0.283 0.000
0.312 0.280 0.500
0.680 0.717 0.000
0.826 0.209 0.248
0.174 0.791 0.248
0.826 0.209 0.752
0.688 0.720 0.500
0.500 0.500 0.253
0.500 0.500 0.747
0.000 0.000 0.000
0.000 0.000 0.500
```

Calculated values
For the formation energy (no corrections), the calculation gives -0.639 eV per atom.

---

[14]
VASP calculation (GGA-PBE) on a geometry-optimized CuIrOs structure.

Structure (POSCAR):
```
CuIrOs
1.0
-1.336 -4.379 -0.507
0.315 -1.979 -4.147
2.307 2.124 3.374
Cu Os Ir
1 1 1
Direct
0.001 0.001 0.000
0.668 0.668 0.000
0.332 0.332 0.000
```

Calculated values
The calculation puts the polymorph energy (0 for the lowest one) at 122.1 meV per atom. The calculation puts the energy of formation from the pure elements at 0.18 eV/atom.

---

[15]
VASP calculation (GGA-PBE) on a geometry-optimized GaSiC structure.

Structure (POSCAR):
```
GaSiC
1.0
3.082 0.000 0.000
0.000 10.429 0.000
0.000 0.000 5.291
Si Ga C
4 4 4
Direct
0.000 0.286 0.585
0.500 0.786 0.585
0.000 0.714 0.085
0.500 0.214 0.085
0.000 0.525 0.506
0.500 0.025 0.506
0.000 0.475 0.006
0.500 0.975 0.006
0.000 0.722 0.438
0.000 0.278 0.938
0.500 0.222 0.438
0.500 0.778 0.938
```

Calculated values
The calculation puts the polymorph energy (0 for the lowest one) at 61.6 meV per atom. For the formation energy (no corrections), the calculation gives 0.199 eV per atom.

---

[16]
VASP calculation (GGA-PBE) on a geometry-optimized AgTe2Cl structure.

Structure (POSCAR):
```
AgTe2Cl
1.0
-7.947 -1.227 0.959
-5.962 -3.905 -3.845
7.515 0.164 3.013
Te Ag Cl
2 1 1
Direct
0.000 0.000 0.000
0.500 0.500 0.000
0.250 0.750 0.500
0.750 0.250 0.500
```

Calculated values
For the formation energy (no corrections), the calculation gives 0.011 eV per atom.

---

[17]
VASP calculation (GGA-PBE) on a geometry-optimized LiCu2P structure.

Structure (POSCAR):
```
LiCu2P
1.0
2.087 -3.615 0.000
2.087 3.615 0.000
0.000 0.000 6.899
Li P Cu
2 2 4
Direct
0.000 0.000 0.500
0.000 0.000 0.000
0.667 0.333 0.250
0.333 0.667 0.750
0.667 0.333 0.919
0.667 0.333 0.581
0.333 0.667 0.081
0.333 0.667 0.419
```

Calculated values
The calculation puts the energy of formation from the pure elements at -0.14 eV/atom.

---

[18]
VASP calculation (GGA-PBE) on a geometry-optimized HfCd2HCl structure.

Structure (POSCAR):
```
HfCd2HCl
1.0
5.890 0.000 0.000
0.000 3.006 0.000
0.000 0.000 5.890
Cd H Cl Hf
2 1 1 1
Direct
0.000 0.000 0.500
0.500 0.000 0.000
0.000 0.500 0.000
0.000 0.000 0.000
0.500 0.500 0.500
```

---

[19]
VASP calculation (GGA-PBE) on a geometry-optimized AcSm2Y2 structure.

Structure (POSCAR):
```
AcSm2Y2
1.0
3.192 0.001 -1.796
-1.605 4.783 -2.852
2.575 2.306 8.304
Sm Y Ac
2 2 1
Direct
0.100 0.600 0.700
0.900 0.400 0.300
0.216 0.215 0.931
0.784 0.785 0.069
0.500 0.000 0.500
```

Calculated values
The calculation puts the polymorph energy (0 for the lowest one) at 0.0 meV per atom. The calculation puts the energy of formation from the pure elements at 0.03 eV/atom.

---

[20]
VASP calculation (GGA-PBE) on a geometry-optimized Na3ZrZn structure.

Structure (POSCAR):
```
Na3ZrZn
1.0
5.408 0.000 0.000
0.000 5.408 0.000
0.000 0.000 5.408
Na Zr Zn
3 1 1
Direct
0.500 0.000 0.000
0.000 0.000 0.500
0.000 0.500 0.000
0.500 0.500 0.500
0.000 0.000 0.000
```

Calculated values
The calculation puts the polymorph energy (0 for the lowest one) at 0.0 meV per atom. The calculation puts the energy of formation from the pure elements at 0.88 eV/atom.

---

[21]
VASP calculation (GGA-PBE) on a geometry-optimized TlPb structure.

Structure (POSCAR):
```
TlPb
1.0
-1.293 -0.739 -11.518
2.158 -1.609 -11.298
-0.343 -4.112 -10.857
Tl Pb
2 2
Direct
0.500 0.500 0.500
0.250 0.250 0.250
0.000 0.000 0.000
0.750 0.750 0.750
```

Calculated values
The calculation puts the energy of formation from the pure elements at 0.00 eV/atom.

---

[22]
VASP calculation (GGA-PBE) on a geometry-optimized Mn2TlGe2 structure.

Structure (POSCAR):
```
Mn2TlGe2
1.0
-2.782 -1.213 2.230
-0.789 -2.732 -2.470
2.211 -5.768 2.801
Tl Mn Ge
1 2 2
Direct
0.000 0.000 0.000
0.607 0.607 0.785
0.393 0.393 0.215
0.750 0.250 0.500
0.250 0.750 0.500
```

Calculated values
The calculation puts the energy of formation from the pure elements at 0.27 eV/atom.

---

[23]
VASP calculation (GGA-PBE) on a geometry-optimized K3HfNb structure.

Structure (POSCAR):
```
K3HfNb
1.0
6.607 0.000 0.000
0.000 6.607 0.000
0.000 0.000 6.607
Nb K Hf
1 3 1
Direct
0.500 0.500 0.500
0.500 0.000 0.000
0.000 0.500 0.000
0.000 0.000 0.500
0.000 0.000 0.000
```

Calculated values
The calculation puts the polymorph energy (0 for the lowest one) at 62.6 meV per atom. The calculation puts the energy of formation from the pure elements at 2.20 eV/atom.

---

[24]
VASP calculation (GGA-PBE) on a geometry-optimized CaSN3 structure.

Structure (POSCAR):
```
CaSN3
1.0
-2.754 -2.360 0.375
1.848 -1.741 2.617
-1.515 2.166 2.512
N Ca S
3 1 1
Direct
0.500 0.000 0.000
0.000 0.500 0.000
0.000 0.000 0.500
0.500 0.500 0.500
0.000 0.000 0.000
```

Calculated values
For the formation energy (no corrections), the calculation gives 0.898 eV per atom.

---

[25]
VASP calculation (GGA-PBE) on a geometry-optimized RbAg3Os structure.

Structure (POSCAR):
```
RbAg3Os
1.0
5.255 0.000 0.000
0.000 5.255 0.000
0.000 0.000 5.255
Rb Ag Os
1 3 1
Direct
0.500 0.500 0.500
0.000 0.500 0.000
0.500 0.000 0.000
0.000 0.000 0.500
0.000 0.000 0.000
```

Calculated values
The calculation puts the polymorph energy (0 for the lowest one) at 0.0 meV per atom. The calculation puts the energy of formation from the pure elements at 0.99 eV/atom.

---

no.,volume (Å³/cell),VASP energy (eV/cell),ρ (Mg/m³)
1,85.5,-68.51,6.1
2,110.6,-26.15,6.8
3,363.1,-40.95,5.1
4,246.0,-42.24,7.5
5,63.0,-20.42,13.8
6,101.6,-16.80,4.2
7,82.0,-11.64,3.4
8,411.5,-83.61,9.0
9,248.7,-115.82,4.9
10,78.0,-42.34,13.2
11,104.9,-20.08,8.8
12,347.4,-54.36,7.8
13,335.4,-34.63,4.1
14,41.0,-23.66,18.0
15,170.0,-68.30,4.3
16,129.1,-10.94,5.1
17,104.1,-32.17,5.3
18,104.3,-15.33,7.0
19,176.5,-26.32,6.6
20,158.2,-9.36,2.4
21,125.9,-12.15,10.9
22,88.5,-28.57,8.6
23,288.5,-12.33,2.2
24,48.5,-26.61,3.9
25,145.1,-15.81,6.9